Entry 1:
! NdSmGdAg, optimized geometry, DFT PBE; values from VASP
! * SG: F-43m
! * ΔH_f (0 K): 64 meV per atom
&SYSTEM
  ibrav = 0, nat = 4, ntyp = 4
/
ATOMIC_SPECIES
Nd 144.24 Nd.upf
Sm 150.36 Sm.upf
Gd 157.25 Gd.upf
Ag 107.87 Ag.upf
CELL_PARAMETERS angstrom
0.000 3.868 3.868
3.868 0.000 3.868
3.868 3.868 0.000
ATOMIC_POSITIONS crystal
Nd 0.000 0.000 0.000
Sm 0.500 0.500 0.500
Gd 0.750 0.750 0.750
Ag 0.250 0.250 0.250

Entry 2:
! NaYCd3, optimized geometry, DFT PBE; values from VASP
! * SG: Pm-3m
! * energy relative to the lowest polymorph listed for this composition: 0.00 kJ per mole of atoms
! * ΔH_f (0 K): 331 meV per atom
&SYSTEM
  ibrav = 0, nat = 5, ntyp = 3
/
ATOMIC_SPECIES
Na 22.99 Na.upf
Y 88.91 Y.upf
Cd 112.41 Cd.upf
CELL_PARAMETERS angstrom
5.142 0.000 0.000
0.000 5.142 0.000
0.000 0.000 5.142
ATOMIC_POSITIONS crystal
Na 0.000 0.000 0.000
Y 0.500 0.500 0.500
Cd 0.000 0.000 0.500
Cd 0.000 0.500 0.000
Cd 0.500 0.000 0.000

Entry 3:
! LaSm2HoEr2, optimized geometry, DFT PBE; values from VASP
! * SG: Pnnm
! * ΔH_f (0 K): 158 meV per atom
&SYSTEM
  ibrav = 0, nat = 12, ntyp = 4
/
ATOMIC_SPECIES
La 138.91 La.upf
Sm 150.36 Sm.upf
Ho 164.93 Ho.upf
Er 167.26 Er.upf
CELL_PARAMETERS angstrom
6.964 0.000 0.000
0.000 16.271 0.000
0.000 0.000 3.532
ATOMIC_POSITIONS crystal
La 0.000 0.000 0.000
La 0.500 0.500 0.500
Sm 0.247 0.340 0.000
Sm 0.253 0.840 0.500
Sm 0.747 0.160 0.500
Sm 0.753 0.660 0.000
Ho 0.000 0.500 0.500
Ho 0.500 0.000 0.000
Er 0.250 0.154 0.500
Er 0.250 0.654 0.000
Er 0.750 0.346 0.000
Er 0.750 0.846 0.500

Entry 4:
! Nd2Zn3Ga4Cu, optimized geometry, DFT PBE; values from VASP
! * SG: P-4m2
! * ΔH_f (0 K): -465 meV per atom
&SYSTEM
  ibrav = 0, nat = 10, ntyp = 4
/
ATOMIC_SPECIES
Nd 144.24 Nd.upf
Zn 65.41 Zn.upf
Ga 69.72 Ga.upf
Cu 63.55 Cu.upf
CELL_PARAMETERS angstrom
4.260 0.000 0.000
0.000 4.260 0.000
0.000 0.000 10.491
ATOMIC_POSITIONS crystal
Nd 0.000 0.500 0.246
Nd 0.500 0.000 0.754
Zn 0.000 0.000 0.000
Zn 0.000 0.500 0.639
Zn 0.500 0.000 0.361
Ga 0.000 0.000 0.500
Ga 0.000 0.500 0.874
Ga 0.500 0.000 0.126
Ga 0.500 0.500 0.500
Cu 0.500 0.500 0.000

Entry 5:
! Rb2CdGeI6, optimized geometry, DFT PBE; values from VASP
! * SG: R3
! * energy relative to the lowest polymorph listed for this composition: 0.00 kJ per mole of atoms
! * formation energy (no corrections): -0.84 eV/atom
&SYSTEM
  ibrav = 0, nat = 10, ntyp = 4
/
ATOMIC_SPECIES
Rb 85.47 Rb.upf
Cd 112.41 Cd.upf
Ge 72.64 Ge.upf
I 126.90 I.upf
CELL_PARAMETERS angstrom
4.271 2.466 8.098
-4.271 2.466 8.098
0.000 -4.932 8.098
ATOMIC_POSITIONS crystal
Rb 0.000 0.000 0.000
Rb 0.486 0.486 0.486
Cd 0.222 0.222 0.222
Ge 0.767 0.767 0.767
I 0.026 0.636 0.473
I 0.134 0.565 0.940
I 0.473 0.026 0.636
I 0.565 0.940 0.134
I 0.636 0.473 0.026
I 0.940 0.134 0.565

Entry 6:
! KTeIrI2, optimized geometry, DFT PBE; values from VASP
! * SG: P4/mmm
! * energy relative to the lowest polymorph listed for this composition: 165.35 kJ per mole of atoms
! * formation energy (no corrections): 1.47 eV/atom
&SYSTEM
  ibrav = 0, nat = 5, ntyp = 4
/
ATOMIC_SPECIES
K 39.10 K.upf
Te 127.60 Te.upf
Ir 192.22 Ir.upf
I 126.90 I.upf
CELL_PARAMETERS angstrom
6.186 0.000 0.000
0.000 6.186 0.000
0.000 0.000 6.355
ATOMIC_POSITIONS crystal
K 0.000 0.000 0.000
Te 0.000 0.000 0.500
Ir 0.500 0.500 0.500
I 0.000 0.500 0.000
I 0.500 0.000 0.000

Entry 7:
! LaMg2Sn2, optimized geometry, DFT PBE; values from VASP
! * SG: P4/mbm
! * energy relative to the lowest polymorph listed for this composition: 15.63 kJ per mole of atoms
! * ΔH_f (0 K): -314 meV per atom
&SYSTEM
  ibrav = 0, nat = 10, ntyp = 3
/
ATOMIC_SPECIES
La 138.91 La.upf
Mg 24.30 Mg.upf
Sn 118.71 Sn.upf
CELL_PARAMETERS angstrom
8.726 0.000 0.000
0.000 8.726 0.000
0.000 0.000 3.503
ATOMIC_POSITIONS crystal
La 0.000 0.000 0.000
La 0.500 0.500 0.000
Mg 0.143 0.357 0.500
Mg 0.357 0.857 0.500
Mg 0.643 0.143 0.500
Mg 0.857 0.643 0.500
Sn 0.152 0.652 0.000
Sn 0.348 0.152 0.000
Sn 0.652 0.848 0.000
Sn 0.848 0.348 0.000

Entry 8:
! Li2RhPbO, optimized geometry, DFT PBE; values from VASP
! * SG: P4/mmm
! * formation energy (no corrections): -0.79 eV/atom
&SYSTEM
  ibrav = 0, nat = 5, ntyp = 4
/
ATOMIC_SPECIES
Li 6.94 Li.upf
Rh 102.91 Rh.upf
Pb 207.20 Pb.upf
O 16.00 O.upf
CELL_PARAMETERS angstrom
3.822 0.000 0.000
0.000 3.822 0.000
0.000 0.000 5.179
ATOMIC_POSITIONS crystal
Li 0.000 0.500 0.000
Li 0.500 0.000 0.000
Rh 0.000 0.000 0.500
Pb 0.500 0.500 0.500
O 0.500 0.500 0.000

no.,uncorrected energy (eV per formula unit),Fermi-level density of states (states/eV per atom)
1,-26.16,1.56
2,-8.87,0.89
3,-27.12,1.53
4,-34.21,0.39
5,-25.20,0.00
6,-8.83,3.94
7,-17.69,0.44
8,-23.82,0.31